[1]
Material: La2FeRu2
Method: DFT, GGA-PBE
State: relaxed

Lattice parameters (Å, degrees): 3.5360 3.5360 9.2196 78.94 78.94 90.00
Last column: nearest neighbours and their distance in Å.
Element x y z (fractional)
Ru 0.7500 0.2500 0.5000  4 Ru 2.50
Ru 0.2500 0.7500 0.5000  4 Ru 2.50
Fe 0.0000 0.0000 0.0000  8 La 3.07
La 0.3998 0.3998 0.2004  4 Fe 3.07, 4 Ru 3.19
La 0.6002 0.6002 0.7996  4 Fe 3.07, 4 Ru 3.19

Values from the calculation:
For the volume, the calculation gives 111.0 Å³ per cell. The calculation puts the total energy at -7.04 eV per atom.

***

[2]
Material: Tl2CdIO6
Method: DFT, GGA-PBE
State: relaxed

Lattice parameters (Å, degrees): 5.7502 5.9606 8.5945 90.00 89.48 90.00
Last column: nearest neighbours and their distance in Å.
Element x y z (fractional)
Tl 0.0162 0.9534 0.2601  4 O 2.32-2.37
Tl 0.5162 0.5466 0.7601  4 O 2.32-2.37
Tl 0.9838 0.0466 0.7399  4 O 2.32-2.37
Tl 0.4838 0.4534 0.2399  4 O 2.32-2.37
Cd 0.5000 0.0000 0.0000  6 O 2.26-2.47
Cd 0.0000 0.5000 0.5000  6 O 2.26-2.47
I 0.5000 0.0000 0.5000  6 O 2.10-2.19
I 0.0000 0.5000 0.0000  6 O 2.10-2.19
O 0.3035 0.6796 0.0526  1 I 2.10, 1 Cd 2.26, 1 Tl 2.35
O 0.8035 0.8204 0.5526  1 I 2.10, 1 Cd 2.26, 1 Tl 2.35
O 0.6965 0.3204 0.9474  1 I 2.10, 1 Cd 2.26, 1 Tl 2.35
O 0.1965 0.1796 0.4474  1 I 2.10, 1 Cd 2.26, 1 Tl 2.35
O 0.3228 0.7124 0.4108  1 I 2.14, 1 Tl 2.32, 1 Cd 2.37
O 0.8228 0.7876 0.9108  1 I 2.14, 1 Tl 2.32, 1 Cd 2.37
O 0.6772 0.2876 0.5892  1 I 2.14, 1 Tl 2.32, 1 Cd 2.37
O 0.1772 0.2124 0.0892  1 I 2.14, 1 Tl 2.32, 1 Cd 2.37
O 0.8697 0.5831 0.2334  1 I 2.19, 2 Tl 2.35-2.37
O 0.3697 0.9169 0.7334  1 I 2.19, 2 Tl 2.35-2.37
O 0.1303 0.4169 0.7666  1 I 2.19, 2 Tl 2.35-2.37
O 0.6303 0.0831 0.2666  1 I 2.19, 2 Tl 2.35-2.37

Values from the calculation:
The formation energy without anion corrections comes out at -0.487 eV per atom. For the volume, the calculation gives 294.6 Å³ per cell.

***

[3]
Material: Eu2CdGa
Method: DFT, GGA-PBE
State: relaxed

Lattice parameters (Å, degrees): 3.8049 3.8049 7.8419 90.00 90.00 90.00
Last column: nearest neighbours and their distance in Å.
Element x y z (fractional)
Eu 0.0000 0.0000 0.7678  4 Ga 3.25, 4 Cd 3.41
Eu 0.0000 0.0000 0.2322  4 Ga 3.25, 4 Cd 3.41
Ga 0.5000 0.5000 0.0000  8 Eu 3.25
Cd 0.5000 0.5000 0.5000  8 Eu 3.41, 4 Cd 3.80

Values from the calculation:
For the volume, the calculation gives 113.5 Å³ per cell. The calculation puts the total energy at -6.54 eV per atom.

***

[4]
Material: Ac2PbCl8
Method: DFT, GGA-PBE
State: relaxed

Lattice parameters (Å, degrees): 4.5471 7.8945 9.2911 100.72 104.16 90.00
Last column: nearest neighbours and their distance in Å.
Element x y z (fractional)
Ac 0.1830 0.7049 0.3659  9 Cl 2.91-3.22
Ac 0.8170 0.2951 0.6341  9 Cl 2.91-3.22
Pb 0.5000 0.0000 0.0000  6 Cl 2.90-3.14
Cl 0.6008 0.5294 0.2017  2 Ac 2.91
Cl 0.3274 0.0175 0.6547  1 Pb 3.14, 3 Ac 3.19-3.22
Cl 0.2071 0.3331 0.4143  3 Ac 3.05-3.07
Cl 0.0243 0.7884 0.0486  2 Pb 2.90, 1 Ac 3.05
Cl 0.7929 0.6669 0.5857  3 Ac 3.05-3.07
Cl 0.6726 0.9825 0.3453  1 Pb 3.14, 3 Ac 3.19-3.22
Cl 0.3992 0.4706 0.7983  2 Ac 2.91
Cl 0.9757 0.2116 0.9514  2 Pb 2.90, 1 Ac 3.05

Values from the calculation:
The formation energy without anion corrections comes out at -2.076 eV per atom. For the volume, the calculation gives 317.4 Å³ per cell.

***

[5]
Material: Nd2FeH
Method: DFT, GGA-PBE
State: relaxed

Lattice parameters (Å, degrees): 3.4118 3.4118 8.4144 78.30 78.30 60.00
Last column: nearest neighbours and their distance in Å.
Element x y z (fractional)
H 0.5000 0.5000 0.5000  6 Nd 2.51
Nd 0.1031 0.1031 0.6906  3 H 2.51, 1 Fe 2.53
Nd 0.8969 0.8969 0.3094  3 H 2.51, 1 Fe 2.53
Fe 0.0000 0.0000 0.0000  2 Nd 2.53

Values from the calculation:
For the volume, the calculation gives 82.5 Å³ per cell. The calculation puts the total energy at -4.88 eV per atom.

***

[6]
Material: LaPrSm2
Method: DFT, GGA-PBE
State: relaxed

Lattice parameters (Å, degrees): 3.6928 3.6928 12.1715 81.25 81.25 60.01
Last column: nearest neighbours and their distance in Å.
Element x y z (fractional)
La 0.5000 0.5000 0.4992  6 La 3.69, 6 Sm 3.70-3.72
Pr 0.6665 0.6665 0.0002  6 Sm 3.65, 6 Pr 3.69
Sm 0.0823 0.0823 0.7534  3 Pr 3.65, 6 Sm 3.69, 3 La 3.72
Sm 0.2511 0.2511 0.2472  3 Pr 3.65, 6 Sm 3.69, 3 La 3.70

Values from the calculation:
For the volume, the calculation gives 141.5 Å³ per cell. The calculation puts the total energy at -4.77 eV per atom.

***

[7]
Material: ZrMoCl
Method: DFT, GGA-PBE
State: relaxed

Lattice parameters (Å, degrees): 3.0580 3.0580 7.6398 90.00 90.00 120.00
Last column: nearest neighbours and their distance in Å.
Element x y z (fractional)
Cl 0.0000 0.0000 0.9394  3 Zr 2.59
Mo 0.6667 0.3333 0.3691  3 Zr 3.03, 6 Mo 3.06
Zr 0.3333 0.6667 0.6914  3 Cl 2.59

Values from the calculation:
The formation energy without anion corrections comes out at 0.017 eV per atom. For the volume, the calculation gives 61.9 Å³ per cell.

***

[8]
Material: AcCdInBi
Method: DFT, GGA-PBE
State: relaxed

Lattice parameters (Å, degrees): 5.6132 5.6132 5.6132 60.00 60.00 60.00
Last column: nearest neighbours and their distance in Å.
Element x y z (fractional)
Ac 0.5000 0.5000 0.5000  4 Cd 3.44, 4 In 3.44
Cd 0.7500 0.7500 0.7500  4 Ac 3.44, 4 Bi 3.44
Bi 0.0000 0.0000 0.0000  4 Cd 3.44, 4 In 3.44
In 0.2500 0.2500 0.2500  4 Ac 3.44, 4 Bi 3.44

Values from the calculation:
For the volume, the calculation gives 125.1 Å³ per cell. The calculation puts the total energy at -3.17 eV per atom.

***

[9]
Material: Zr2ZnCd
Method: DFT, GGA-PBE
State: relaxed

Lattice parameters (Å, degrees): 6.7470 5.1651 3.2264 89.88 61.65 120.32
Last column: nearest neighbours and their distance in Å.
Element x y z (fractional)
Zn 0.5000 0.5000 0.0000  2 Cd 2.97, 8 Zr 3.04-3.05, 2 Zn 3.23
Zr 0.0000 0.0000 0.0000  4 Zr 2.97-3.23, 4 Cd 3.04-3.05, 4 Zn 3.04-3.05
Zr 0.5000 0.0000 0.5000  4 Zr 2.97-3.23, 4 Zn 3.04-3.05, 4 Cd 3.04-3.05
Cd 0.0000 0.5000 0.5000  2 Zn 2.97, 8 Zr 3.04-3.05, 2 Cd 3.23

Values from the calculation:
For the volume, the calculation gives 81.0 Å³ per cell. The calculation puts the total energy at -4.97 eV per atom.

***

[10]
Material: Er12Cd6Ni
Method: DFT, GGA-PBE
State: relaxed

Lattice parameters (Å, degrees): 8.1465 8.1465 8.1465 94.22 94.22 94.22
Last column: nearest neighbours and their distance in Å.
Element x y z (fractional)
Er 0.7960 0.5704 0.4593  4 Cd 3.08-3.24
Er 0.4593 0.7960 0.5704  4 Cd 3.08-3.24
Er 0.5704 0.4593 0.7960  4 Cd 3.08-3.24
Er 0.2040 0.4296 0.5407  4 Cd 3.08-3.24
Er 0.5407 0.2040 0.4296  4 Cd 3.08-3.24
Er 0.4296 0.5407 0.2040  4 Cd 3.08-3.24
Er 0.9780 0.0973 0.3127  1 Ni 2.63
Er 0.9027 0.6873 0.0220  1 Ni 2.63
Er 0.6873 0.0220 0.9027  1 Ni 2.63
Er 0.0220 0.9027 0.6873  1 Ni 2.63
Er 0.0973 0.3127 0.9780  1 Ni 2.63
Er 0.3127 0.9780 0.0973  1 Ni 2.63
Cd 0.6551 0.8631 0.2605  8 Er 3.08-3.30
Cd 0.7395 0.3449 0.1369  8 Er 3.08-3.30
Cd 0.1369 0.7395 0.3449  8 Er 3.08-3.30
Cd 0.3449 0.1369 0.7395  8 Er 3.08-3.30
Cd 0.2605 0.6551 0.8631  8 Er 3.08-3.30
Cd 0.8631 0.2605 0.6551  8 Er 3.08-3.30
Ni 0.0000 0.0000 0.0000  6 Er 2.63

Values from the calculation:
For the volume, the calculation gives 536.0 Å³ per cell. The calculation puts the total energy at -3.56 eV per atom.

***

[11]
Material: ZrScTaIr2
Method: DFT, GGA-PBE
State: relaxed

Lattice parameters (Å, degrees): 4.6465 4.7150 4.6465 90.00 90.00 90.00
Last column: nearest neighbours and their distance in Å.
Element x y z (fractional)
Sc 0.0000 0.0000 0.0000  4 Ir 2.32, 2 Ta 2.36
Ir 0.0000 0.0000 0.5000  2 Sc 2.32
Ir 0.5000 0.0000 0.0000  2 Sc 2.32
Zr 0.5000 0.5000 0.5000  4 Ta 3.29, 8 Ir 3.31
Ta 0.0000 0.5000 0.0000  2 Sc 2.36

Values from the calculation:
For the volume, the calculation gives 101.8 Å³ per cell. The calculation puts the total energy at -7.92 eV per atom.

***

[12]
Material: CaMgCoH6
Method: DFT, GGA-PBE
State: relaxed

Lattice parameters (Å, degrees): 4.6093 4.6093 4.5309 90.00 90.00 60.00
Last column: nearest neighbours and their distance in Å.
Element x y z (fractional)
Ca 0.0000 0.0000 0.9992  6 H 2.28
Mg 0.6666 0.6667 0.4996  6 H 1.93
Co 0.3333 0.3333 0.5002  6 H 1.58
H 0.0575 0.3868 0.2660  1 Co 1.58
H 0.3881 0.0571 0.7343  1 Co 1.58
H 0.5548 0.3881 0.7343  1 Co 1.58
H 0.0571 0.5548 0.7343  1 Co 1.58
H 0.3867 0.5557 0.2660  1 Co 1.58
H 0.5557 0.0576 0.2660  1 Co 1.58

Values from the calculation:
For the volume, the calculation gives 83.4 Å³ per cell. The calculation puts the total energy at -3.72 eV per atom.

***

[13]
Material: HoTiPb2
Method: DFT, GGA-PBE
State: relaxed

Lattice parameters (Å, degrees): 3.8407 3.8407 6.6945 90.00 90.00 90.00
Last column: nearest neighbours and their distance in Å.
Element x y z (fractional)
Pb 0.0000 0.0000 0.7728  1 Pb 3.04, 4 Ti 3.11, 4 Ho 3.27
Pb 0.0000 0.0000 0.2272  1 Pb 3.04, 4 Ti 3.11, 4 Ho 3.27
Ho 0.5000 0.5000 0.5000  8 Pb 3.27, 2 Ti 3.35
Ti 0.5000 0.5000 0.0000  8 Pb 3.11, 2 Ho 3.35

Values from the calculation:
For the volume, the calculation gives 98.7 Å³ per cell. The calculation puts the total energy at -5.05 eV per atom.

***

[14]
Material: TcAg2BiAu
Method: DFT, GGA-PBE
State: relaxed

Lattice parameters (Å, degrees): 5.1043 5.3618 5.1043 90.00 90.00 90.00
Last column: nearest neighbours and their distance in Å.
Element x y z (fractional)
Au 0.0000 0.0000 0.0000  4 Ag 2.55, 2 Bi 2.68
Bi 0.0000 0.5000 0.0000  2 Au 2.68
Ag 0.0000 0.0000 0.5000  2 Au 2.55
Ag 0.5000 0.0000 0.0000  2 Au 2.55
Tc 0.5000 0.5000 0.5000  4 Bi 3.61, 8 Ag 3.70

Values from the calculation:
For the volume, the calculation gives 139.7 Å³ per cell. The calculation puts the total energy at -3.44 eV per atom.

***

[15]
Material: Pm3Tm2Sc
Method: DFT, GGA-PBE
State: relaxed

Lattice parameters (Å, degrees): 3.4589 5.7562 10.2628 106.29 99.70 90.00
Last column: nearest neighbours and their distance in Å.
Element x y z (fractional)
Pm 0.0000 0.5000 0.0000  2 Sc 2.88, 4 Tm 3.17
Pm 0.8115 0.8115 0.6230  5 Tm 3.39-3.50, 2 Pm 3.46, 1 Sc 3.66
Pm 0.1885 0.1885 0.3770  5 Tm 3.39-3.50, 2 Pm 3.46, 1 Sc 3.66
Tm 0.6369 0.6369 0.2739  7 Pm 3.17-3.50, 2 Tm 3.46
Tm 0.3631 0.3631 0.7261  7 Pm 3.17-3.50, 2 Tm 3.46
Sc 0.0000 0.0000 0.0000  2 Pm 2.88

Values from the calculation:
For the volume, the calculation gives 193.1 Å³ per cell. The calculation puts the total energy at -4.54 eV per atom.

***

[16]
Material: Sr3Li5Ca2
Method: DFT, GGA-PBE
State: relaxed

Lattice parameters (Å, degrees): 7.0712 8.4258 13.0836 108.80 105.69 89.96
Last column: nearest neighbours and their distance in Å.
Element x y z (fractional)
Sr 0.7235 0.8788 0.4469  5 Li 3.48-3.83
Sr 0.2235 0.5682 0.4469  5 Li 3.48-3.83
Sr 0.2765 0.1212 0.5531  5 Li 3.48-3.83
Sr 0.7765 0.4318 0.5531  5 Li 3.48-3.83
Sr 0.7501 0.0001 0.0002  6 Li 3.46-3.54, 2 Sr 3.54
Sr 0.2499 0.9999 0.9998  6 Li 3.46-3.54, 2 Sr 3.54
Li 0.5789 0.8047 0.1577  4 Li 3.20-3.35, 1 Ca 3.42, 3 Sr 3.46-3.48
Li 0.0789 0.3530 0.1577  4 Li 3.20-3.35, 1 Ca 3.42, 3 Sr 3.46-3.48
Li 0.4211 0.1953 0.8423  4 Li 3.20-3.35, 1 Ca 3.42, 3 Sr 3.46-3.48
Li 0.9211 0.6470 0.8423  4 Li 3.20-3.35, 1 Ca 3.42, 3 Sr 3.46-3.48
Li 0.6010 0.8510 0.7021  4 Li 3.35-3.54, 2 Ca 3.43, 3 Sr 3.54-3.74
Li 0.3990 0.1490 0.2979  4 Li 3.35-3.54, 2 Ca 3.43, 3 Sr 3.54-3.74
Li 0.2499 0.4999 0.9999  6 Li 3.20-3.54, 4 Ca 3.40
Li 0.7501 0.5001 0.0001  6 Li 3.20-3.54, 4 Ca 3.40
Li 0.8991 0.1491 0.2981  4 Li 3.35-3.54, 2 Ca 3.43, 3 Sr 3.54-3.74
Li 0.1009 0.8509 0.7019  4 Li 3.35-3.54, 2 Ca 3.43, 3 Sr 3.54-3.74
Ca 0.8942 0.2209 0.7888  7 Li 3.40-3.62
Ca 0.3947 0.5680 0.7888  7 Li 3.40-3.62
Ca 0.1058 0.7791 0.2112  7 Li 3.40-3.62
Ca 0.6053 0.4320 0.2112  7 Li 3.40-3.62

Values from the calculation:
For the volume, the calculation gives 707.2 Å³ per cell. The calculation puts the total energy at -1.81 eV per atom.

***

[17]
Material: PmSm2ThBi5
Method: DFT, GGA-PBE
State: relaxed

Lattice parameters (Å, degrees): 5.7219 5.7219 12.0722 90.00 90.00 90.00
Last column: nearest neighbours and their distance in Å.
Element x y z (fractional)
Pm 0.0000 0.0000 0.0000  2 Bi 2.95
Sm 0.5000 0.5000 0.2702  1 Bi 3.26
Sm 0.5000 0.5000 0.7298  1 Bi 3.26
Th 0.0000 0.0000 0.5000  6 Bi 2.86-3.08
Bi 0.0000 0.5000 0.5000  2 Th 2.86
Bi 0.5000 0.0000 0.5000  2 Th 2.86
Bi 0.0000 0.0000 0.7554  1 Pm 2.95, 1 Th 3.08
Bi 0.0000 0.0000 0.2446  1 Pm 2.95, 1 Th 3.08
Bi 0.5000 0.5000 0.0000  2 Sm 3.26

Values from the calculation:
For the volume, the calculation gives 395.2 Å³ per cell. The calculation puts the total energy at -4.47 eV per atom.

***

[18]
Material: PmHoIrRu
Method: DFT, GGA-PBE
State: relaxed

Lattice parameters (Å, degrees): 4.8820 4.8820 4.8820 60.00 60.00 60.00
Last column: nearest neighbours and their distance in Å.
Element x y z (fractional)
Ru 0.7500 0.7500 0.7500  4 Pm 2.99, 4 Ho 2.99
Ir 0.2500 0.2500 0.2500  4 Ho 2.99, 4 Pm 2.99
Ho 0.5000 0.5000 0.5000  4 Ru 2.99, 4 Ir 2.99
Pm 0.0000 0.0000 0.0000  4 Ru 2.99, 4 Ir 2.99

Values from the calculation:
For the volume, the calculation gives 82.3 Å³ per cell. The calculation puts the total energy at -7.36 eV per atom.

***

[19]
Material: TbThTePb
Method: DFT, GGA-PBE
State: relaxed

Lattice parameters (Å, degrees): 5.4649 5.4649 5.4649 60.00 60.00 60.00
Last column: nearest neighbours and their distance in Å.
Element x y z (fractional)
Pb 0.7500 0.7500 0.7500  4 Th 3.35, 4 Tb 3.35
Te 0.2500 0.2500 0.2500  4 Th 3.35, 4 Tb 3.35
Tb 0.0000 0.0000 0.0000  4 Te 3.35, 4 Pb 3.35
Th 0.5000 0.5000 0.5000  4 Pb 3.35, 4 Te 3.35

Values from the calculation:
The formation energy without anion corrections comes out at -0.662 eV per atom. For the volume, the calculation gives 115.4 Å³ per cell.

***

[20]
Material: CePr6Th
Method: DFT, GGA-PBE
State: relaxed

Lattice parameters (Å, degrees): 7.0502 6.5643 6.9266 88.51 59.34 92.17
Last column: nearest neighbours and their distance in Å.
Element x y z (fractional)
Ce 0.0000 0.0000 0.0000  2 Th 3.28, 4 Pr 3.47-3.62
Pr 0.0957 0.7579 0.4772  5 Pr 3.26-3.54
Pr 0.5733 0.7463 0.5211  5 Pr 3.26-3.57, 1 Ce 3.62
Pr 0.4267 0.2537 0.4789  5 Pr 3.26-3.57, 1 Ce 3.62
Pr 0.9043 0.2421 0.5228  5 Pr 3.26-3.54
Pr 0.5583 0.7465 0.0000  4 Pr 3.26-3.46, 1 Ce 3.47, 1 Th 3.56
Pr 0.4417 0.2535 0.0000  4 Pr 3.26-3.46, 1 Ce 3.47, 1 Th 3.56
Th 0.0000 0.5000 0.0000  2 Ce 3.28, 2 Pr 3.56

Values from the calculation:
For the volume, the calculation gives 275.2 Å³ per cell. The calculation puts the total energy at -5.05 eV per atom.